# 1
VASP calculation (GGA-PBE) on an optimized crystal structure of Rb2CdO2.

Summary:
For the energy, the calculation gives -3.6151 eV per atom. The space group is No. 72.

Lattice parameters (Å, degrees): 6.9899 6.9899 6.9899 124.49 78.84 128.85
With the nearest neighbours (Å) after each atom.
Atoms (fractional coordinates):
Rb1 0.1536 0.1231 0.2766  3 O 2.74-2.94
Rb2 0.3464 0.6231 0.9695  3 O 2.74-2.94
Rb3 0.6536 0.3769 0.0305  3 O 2.74-2.94
Rb4 0.8464 0.8769 0.7234  3 O 2.74-2.94
Cd1 0.2500 0.7500 0.5000  4 O 2.25
Cd2 0.7500 0.2500 0.5000  4 O 2.25
O1 0.0970 0.7005 0.7975  2 Cd 2.25
O2 0.4030 0.2005 0.6035  2 Cd 2.25
O3 0.5970 0.7995 0.3965  2 Cd 2.25
O4 0.9030 0.2995 0.2025  2 Cd 2.25



# 2
VASP calculation (GGA-PBE) on an optimized crystal structure of Dy2TmIn3CuPd2.

Summary:
For the energy, the calculation gives -4.6966 eV per atom. The space group is No. 38.

Lattice parameters (Å, degrees): 3.8331 7.6359 7.6359 119.85 90.00 90.00
With the nearest neighbours (Å) after each atom.
Atoms (fractional coordinates):
Dy1 0.0000 0.2048 0.7952  4 Pd 3.01, 1 Cu 3.13, 6 In 3.22-3.35
Dy2 0.0000 0.7952 0.2048  4 Pd 3.01, 1 Cu 3.13, 6 In 3.22-3.35
Tm1 0.0000 0.3856 0.3856  4 Pd 2.99, 1 Cu 3.13, 6 In 3.22-3.33
In1 0.5000 0.0477 0.0477  2 Cu 2.73, 2 Pd 2.89
In2 0.5000 0.5428 0.7941  2 Cu 2.71, 2 Pd 2.90-2.93
In3 0.5000 0.7941 0.5428  2 Cu 2.71, 2 Pd 2.90-2.93
Cu1 0.0000 0.7942 0.7942  6 In 2.71-2.73
Pd1 0.5000 0.1301 0.4610  3 In 2.89-2.93, 2 Tm 2.99, 4 Dy 3.01
Pd2 0.5000 0.4610 0.1301  3 In 2.89-2.93, 2 Tm 2.99, 4 Dy 3.01



# 3
VASP calculation (GGA-PBE) on an optimized crystal structure of BePtSO.

Summary:
For the distance to the lowest polymorph of the same formula, the calculation gives 64 meV per atom. The space group is No. 61.

Lattice parameters (Å, degrees): 5.8683 6.6518 13.3604 90.00 90.00 90.00
With the nearest neighbours (Å) after each atom.
Atoms (fractional coordinates):
Be1 0.1402 0.1683 0.2406  2 O 1.47-1.48
Be2 0.1402 0.3317 0.7406  2 O 1.47-1.48
Be3 0.3598 0.6683 0.2406  2 O 1.47-1.48
Be4 0.3598 0.8317 0.7406  2 O 1.47-1.48
Be5 0.6402 0.1683 0.2594  2 O 1.47-1.48
Be6 0.6402 0.3317 0.7594  2 O 1.47-1.48
Be7 0.8598 0.6683 0.2594  2 O 1.47-1.48
Be8 0.8598 0.8317 0.7594  2 O 1.47-1.48
Pt1 0.0283 0.2497 0.0482  4 S 2.33-2.35
Pt2 0.0283 0.2503 0.5482  4 S 2.33-2.35
Pt3 0.4717 0.7497 0.0482  4 S 2.33-2.35
Pt4 0.4717 0.7503 0.5482  4 S 2.33-2.35
Pt5 0.5283 0.2497 0.4518  4 S 2.33-2.35
Pt6 0.5283 0.2503 0.9518  4 S 2.33-2.35
Pt7 0.9717 0.7497 0.4518  4 S 2.33-2.35
Pt8 0.9717 0.7503 0.9518  4 S 2.33-2.35
S1 0.2496 0.0001 0.4752  4 Pt 2.33-2.35
S2 0.2504 0.9998 0.9752  4 Pt 2.33-2.35
S3 0.2504 0.5002 0.4752  4 Pt 2.33-2.35
S4 0.2496 0.4998 0.9752  4 Pt 2.33-2.35
S5 0.7496 0.0001 0.0248  4 Pt 2.33-2.35
S6 0.7504 0.9998 0.5248  4 Pt 2.33-2.35
S7 0.7504 0.5002 0.0248  4 Pt 2.33-2.35
S8 0.7496 0.4998 0.5248  4 Pt 2.33-2.35
O1 0.1085 0.6640 0.2443  2 Be 1.47-1.48
O2 0.1085 0.8360 0.7443  2 Be 1.47-1.48
O3 0.3915 0.1640 0.2443  2 Be 1.47-1.48
O4 0.3915 0.3360 0.7443  2 Be 1.47-1.48
O5 0.6085 0.6640 0.2557  2 Be 1.47-1.48
O6 0.6085 0.8360 0.7557  2 Be 1.47-1.48
O7 0.8915 0.1640 0.2557  2 Be 1.47-1.48
O8 0.8915 0.3360 0.7557  2 Be 1.47-1.48



# 4
VASP calculation (GGA-PBE) on an optimized crystal structure of NaTbSi.

Summary:
For the energy, the calculation gives -3.9930 eV per atom. The space group is No. 216.

Lattice parameters (Å, degrees): 4.8403 4.8403 4.8403 60.00 60.00 60.00
With the nearest neighbours (Å) after each atom.
Atoms (fractional coordinates):
Na1 0.0000 0.0000 0.0000  4 Si 2.96
Tb1 0.5000 0.5000 0.5000  4 Si 2.96
Si1 0.2500 0.2500 0.2500  4 Tb 2.96, 4 Na 2.96



Q: Number 1 is which compound?
A: Rb2CdO2



Repeat the fourth record exactly.
VASP calculation (GGA-PBE) on an optimized crystal structure of NaTbSi.

Summary:
For the energy, the calculation gives -3.9930 eV per atom. The space group is No. 216.

Lattice parameters (Å, degrees): 4.8403 4.8403 4.8403 60.00 60.00 60.00
With the nearest neighbours (Å) after each atom.
Atoms (fractional coordinates):
Na1 0.0000 0.0000 0.0000  4 Si 2.96
Tb1 0.5000 0.5000 0.5000  4 Si 2.96
Si1 0.2500 0.2500 0.2500  4 Tb 2.96, 4 Na 2.96